Entry 1:
Gd2LuAl3CuGe2 after structural relaxation, computed with GGA-PBE.

Cell lengths 4.176, 7.000, 7.000 Å; angles 119.82, 90.00, 90.00 degrees
Fractional coordinates of all 9 atoms:
Gd (0.000, 0.201, 0.799)
Gd (0.000, 0.799, 0.201)
Lu (0.000, 0.605, 0.605)
Al (0.500, 0.204, 0.436)
Al (0.500, 0.436, 0.204)
Al (0.500, 0.971, 0.971)
Cu (0.000, 0.211, 0.211)
Ge (0.500, 0.538, 0.864)
Ge (0.500, 0.864, 0.538)

Values from the calculation:
VASP energy	-43.89	eV per cell

Entry 2:
ScB4Mo after structural relaxation, computed with GGA-PBE.

Cell lengths 5.919, 11.387, 3.517 Å; angles 90.00, 90.00, 90.00 degrees
Fractional coordinates of all 24 atoms:
Sc (0.129, 0.148, 0.000)
Sc (0.371, 0.648, 0.000)
Sc (0.629, 0.352, 0.000)
Sc (0.871, 0.852, 0.000)
B (0.018, 0.697, 0.500)
B (0.117, 0.550, 0.500)
B (0.130, 0.969, 0.500)
B (0.205, 0.813, 0.500)
B (0.295, 0.313, 0.500)
B (0.370, 0.469, 0.500)
B (0.383, 0.050, 0.500)
B (0.482, 0.197, 0.500)
B (0.518, 0.803, 0.500)
B (0.617, 0.950, 0.500)
B (0.630, 0.531, 0.500)
B (0.705, 0.687, 0.500)
B (0.795, 0.187, 0.500)
B (0.870, 0.031, 0.500)
B (0.883, 0.450, 0.500)
B (0.982, 0.303, 0.500)
Mo (0.134, 0.415, 0.000)
Mo (0.366, 0.915, 0.000)
Mo (0.634, 0.085, 0.000)
Mo (0.866, 0.585, 0.000)

Values from the calculation:
offset from the most stable computed form	0.100	eV per atom

Entry 3:
CdGeTeO after structural relaxation, computed with GGA-PBE.

Cell lengths 6.341, 6.883, 8.770 Å; angles 90.00, 90.00, 90.00 degrees
Fractional coordinates of all 16 atoms:
Cd (0.009, 0.188, 0.404)
Cd (0.491, 0.812, 0.904)
Cd (0.509, 0.312, 0.596)
Cd (0.991, 0.688, 0.096)
Ge (0.041, 0.151, 0.985)
Ge (0.459, 0.849, 0.485)
Ge (0.541, 0.349, 0.015)
Ge (0.959, 0.651, 0.515)
Te (0.217, 0.510, 0.773)
Te (0.283, 0.490, 0.273)
Te (0.717, 0.990, 0.227)
Te (0.783, 0.010, 0.727)
O (0.201, 0.939, 0.003)
O (0.299, 0.061, 0.503)
O (0.701, 0.561, 0.997)
O (0.799, 0.439, 0.497)

Values from the calculation:
offset from the most stable computed form	0.054	eV per atom